Arrangement A

! Ba2Na2Se | Alexandria | PBE-GGA | relaxed; values from VASP
! Volume   38.27 Å³/atom
! M_tot   0.0 μB/f.u.
! Space-group type   P4/mbm
! DOS at the Fermi energy   9.858 states/eV per cell
&SYSTEM
  ibrav = 0, nat = 10, ntyp = 3
/
ATOMIC_SPECIES
Ba 137.33 Ba.upf
Se 78.96 Se.upf
Na 22.99 Na.upf
CELL_PARAMETERS angstrom
-4.199 -6.904 1.503
5.001 -1.669 6.306
-3.439 2.850 3.482
ATOMIC_POSITIONS crystal
Ba 0.678 0.822 0.500
Ba 0.822 0.322 0.500
Se 0.500 0.500 0.000
Se 0.000 0.000 0.000
Na 0.360 0.860 0.000
Na 0.140 0.360 0.000
Na 0.860 0.640 0.000
Ba 0.178 0.678 0.500
Ba 0.322 0.178 0.500
Na 0.640 0.140 0.000

Arrangement B

! Ba2Na2Se | Alexandria | PBE-GGA | relaxed; values from VASP
! Volume   50.69 Å³/atom
! M_tot   0.0 μB/f.u.
! Space-group type   P4/mbm
! DOS at the Fermi energy   6.086 states/eV per cell
&SYSTEM
  ibrav = 0, nat = 10, ntyp = 3
/
ATOMIC_SPECIES
Ba 137.33 Ba.upf
Na 22.99 Na.upf
Se 78.96 Se.upf
CELL_PARAMETERS angstrom
8.704 0.000 0.000
0.000 8.704 0.000
0.000 0.000 6.690
ATOMIC_POSITIONS crystal
Ba 0.682 0.182 0.000
Na 0.363 0.137 0.500
Na 0.637 0.863 0.500
Ba 0.182 0.318 0.000
Na 0.137 0.637 0.500
Se 0.500 0.500 0.000
Ba 0.818 0.682 0.000
Ba 0.318 0.818 0.000
Se 0.000 0.000 0.000
Na 0.863 0.363 0.500

The structure with the greatest stability is arrangement B.

Arrangement A

! BaNaSr2Si | Alexandria | PBE-GGA | relaxed; values from VASP
! Volume   50.23 Å³/atom
! M_tot   0.0 μB/f.u.
! Space-group type   P4/mmm
! DOS at the Fermi energy   4.032 states/eV per cell
&SYSTEM
  ibrav = 0, nat = 5, ntyp = 4
/
ATOMIC_SPECIES
Sr 87.62 Sr.upf
Si 28.09 Si.upf
Ba 137.33 Ba.upf
Na 22.99 Na.upf
CELL_PARAMETERS angstrom
-0.516 4.348 4.365
-6.122 0.126 -0.849
-0.729 -4.669 4.565
ATOMIC_POSITIONS crystal
Sr 0.500 0.000 0.000
Si 0.000 0.000 0.000
Sr 0.000 0.500 0.000
Ba 0.000 0.000 0.500
Na 0.500 0.500 0.500

Arrangement B

! BaNaSr2Si | Alexandria | PBE-GGA | relaxed; values from VASP
! Volume   55.00 Å³/atom
! M_tot   1.3 μB/f.u.
! Space-group type   P4/mmm
! DOS at the Fermi energy   4.737 states/eV per cell
&SYSTEM
  ibrav = 0, nat = 5, ntyp = 4
/
ATOMIC_SPECIES
Na 22.99 Na.upf
Ba 137.33 Ba.upf
Si 28.09 Si.upf
Sr 87.62 Sr.upf
CELL_PARAMETERS angstrom
6.915 0.000 0.000
0.000 5.751 0.000
0.000 0.000 6.915
ATOMIC_POSITIONS crystal
Na 0.500 0.500 0.500
Ba 0.000 0.000 0.000
Si 0.000 0.500 0.000
Sr 0.500 0.000 0.000
Sr 0.000 0.000 0.500

The structure with the greatest stability is arrangement A.

Arrangement A

! BaNa2Sn6 | Alexandria | PBE-GGA | relaxed; values from VASP
! Volume   29.26 Å³/atom
! M_tot   0.0 μB/f.u.
! Space-group type   P6/mmm
! DOS at the Fermi energy   5.241 states/eV per cell
&SYSTEM
  ibrav = 0, nat = 9, ntyp = 3
/
ATOMIC_SPECIES
Sn 118.71 Sn.upf
Na 22.99 Na.upf
Ba 137.33 Ba.upf
CELL_PARAMETERS angstrom
-2.328 1.594 -1.986
1.152 -6.560 -6.615
-6.492 -1.160 6.681
ATOMIC_POSITIONS crystal
Sn 0.500 0.342 0.342
Sn 0.500 0.000 0.658
Sn 0.500 0.342 0.000
Sn 0.500 0.000 0.342
Na 0.000 0.667 0.333
Na 0.000 0.333 0.667
Sn 0.500 0.658 0.000
Sn 0.500 0.658 0.658
Ba 0.000 0.000 0.000

Arrangement B

! BaNa2Sn6 | Alexandria | PBE-GGA | relaxed; values from VASP
! Volume   32.13 Å³/atom
! M_tot   0.0 μB/f.u.
! Space-group type   Immm
! DOS at the Fermi energy   4.725 states/eV per cell
&SYSTEM
  ibrav = 0, nat = 9, ntyp = 3
/
ATOMIC_SPECIES
Sn 118.71 Sn.upf
Ba 137.33 Ba.upf
Na 22.99 Na.upf
CELL_PARAMETERS angstrom
4.867 0.000 0.000
2.433 8.435 1.410
2.433 3.773 7.675
ATOMIC_POSITIONS crystal
Sn 0.806 0.497 0.891
Sn 0.194 0.109 0.503
Sn 0.000 0.815 0.185
Sn 0.806 0.891 0.497
Ba 0.500 0.500 0.500
Sn 0.194 0.503 0.109
Sn 0.000 0.185 0.815
Na 0.614 0.886 0.886
Na 0.386 0.114 0.114

The structure with the greatest stability is arrangement B.

Arrangement A

! BaNaSn | Alexandria | PBE-GGA | relaxed; values from VASP
! Volume   41.20 Å³/atom
! M_tot   0.0 μB/f.u.
! Space-group type   Cmcm
! DOS at the Fermi energy   6.009 states/eV per cell
&SYSTEM
  ibrav = 0, nat = 12, ntyp = 3
/
ATOMIC_SPECIES
Na 22.99 Na.upf
Ba 137.33 Ba.upf
Sn 118.71 Sn.upf
CELL_PARAMETERS angstrom
-3.574 2.358 -2.869
-12.285 1.359 16.424
1.878 4.137 1.062
ATOMIC_POSITIONS crystal
Na 0.500 0.793 0.750
Ba 0.000 0.911 0.250
Sn 0.500 0.045 0.250
Sn 0.500 0.955 0.750
Ba 0.500 0.411 0.250
Sn 0.000 0.455 0.750
Na 0.500 0.207 0.250
Ba 0.500 0.589 0.750
Na 0.000 0.707 0.250
Ba 0.000 0.089 0.750
Na 0.000 0.293 0.750
Sn 0.000 0.545 0.250

Arrangement B

! BaNaSn | Alexandria | PBE-GGA | relaxed; values from VASP
! Volume   37.22 Å³/atom
! M_tot   0.0 μB/f.u.
! Space-group type   C2/m
! DOS at the Fermi energy   2.675 states/eV per cell
&SYSTEM
  ibrav = 0, nat = 12, ntyp = 3
/
ATOMIC_SPECIES
Sn 118.71 Sn.upf
Ba 137.33 Ba.upf
Na 22.99 Na.upf
CELL_PARAMETERS angstrom
6.849 0.000 0.000
0.000 5.640 0.000
-2.540 0.000 11.561
ATOMIC_POSITIONS crystal
Sn 0.203 0.500 0.594
Sn 0.797 0.500 0.406
Ba 0.728 0.500 0.697
Sn 0.797 0.000 0.906
Na 0.000 0.500 0.000
Ba 0.272 0.500 0.303
Na 0.500 0.000 0.500
Ba 0.272 0.000 0.803
Ba 0.728 0.000 0.197
Na 0.500 0.500 0.000
Na 0.000 0.000 0.500
Sn 0.203 0.000 0.094

The structure with the greatest stability is arrangement A.

Arrangement A

! BaNaSn | Alexandria | PBE-GGA | relaxed; values from VASP
! Volume   35.75 Å³/atom
! M_tot   0.0 μB/f.u.
! Space-group type   P3m1
! DOS at the Fermi energy   2.007 states/eV per cell
&SYSTEM
  ibrav = 0, nat = 3, ntyp = 3
/
ATOMIC_SPECIES
Sn 118.71 Sn.upf
Ba 137.33 Ba.upf
Na 22.99 Na.upf
CELL_PARAMETERS angstrom
3.999 0.000 0.000
0.000 5.565 0.000
0.000 -2.782 4.819
ATOMIC_POSITIONS crystal
Sn 0.168 0.667 0.333
Ba 0.667 0.333 0.667
Na 0.166 0.000 0.000

Arrangement B

! BaNaSn | Alexandria | PBE-GGA | relaxed; values from VASP
! Volume   38.23 Å³/atom
! M_tot   0.0 μB/f.u.
! Space-group type   R3m
! DOS at the Fermi energy   10.681 states/eV per cell
&SYSTEM
  ibrav = 0, nat = 18, ntyp = 3
/
ATOMIC_SPECIES
Sn 118.71 Sn.upf
Na 22.99 Na.upf
Ba 137.33 Ba.upf
CELL_PARAMETERS angstrom
-4.949 -1.246 2.671
4.346 -3.779 0.079
8.331 10.000 20.100
ATOMIC_POSITIONS crystal
Sn 0.667 0.333 0.475
Na 0.000 0.000 0.880
Sn 0.000 0.000 0.142
Na 0.667 0.333 0.213
Ba 0.000 0.000 0.288
Na 0.000 0.000 0.495
Sn 0.333 0.667 0.680
Na 0.333 0.667 0.546
Na 0.667 0.333 0.829
Ba 0.333 0.667 0.402
Ba 0.667 0.333 0.068
Sn 0.333 0.667 0.808
Ba 0.667 0.333 0.621
Sn 0.667 0.333 0.347
Sn 0.000 0.000 0.014
Ba 0.333 0.667 0.954
Ba 0.000 0.000 0.735
Na 0.333 0.667 0.162

Arrangement C

! BaNaSn | Alexandria | PBE-GGA | relaxed; values from VASP
! Volume   36.65 Å³/atom
! M_tot   0.0 μB/f.u.
! Space-group type   I4mm
! DOS at the Fermi energy   1.928 states/eV per cell
&SYSTEM
  ibrav = 0, nat = 3, ntyp = 3
/
ATOMIC_SPECIES
Na 22.99 Na.upf
Sn 118.71 Sn.upf
Ba 137.33 Ba.upf
CELL_PARAMETERS angstrom
4.401 0.000 0.000
0.000 4.401 0.000
-2.201 -2.201 5.675
ATOMIC_POSITIONS crystal
Na 0.923 0.923 0.846
Sn 0.301 0.301 0.602
Ba 0.626 0.626 0.252

Arrangement D

! BaNaSn | Alexandria | PBE-GGA | relaxed; values from VASP
! Volume   36.47 Å³/atom
! M_tot   0.0 μB/f.u.
! Space-group type   C2/m
! DOS at the Fermi energy   2.706 states/eV per cell
&SYSTEM
  ibrav = 0, nat = 6, ntyp = 3
/
ATOMIC_SPECIES
Ba 137.33 Ba.upf
Sn 118.71 Sn.upf
Na 22.99 Na.upf
CELL_PARAMETERS angstrom
5.664 0.000 0.000
2.832 6.481 -0.863
2.832 0.517 5.892
ATOMIC_POSITIONS crystal
Ba 0.944 0.785 0.327
Sn 0.326 0.669 0.679
Na 0.666 0.709 0.959
Ba 0.056 0.215 0.673
Sn 0.674 0.331 0.321
Na 0.334 0.291 0.041

The structure with the greatest stability is arrangement B.

Arrangement A

! BaNaSn | Alexandria | PBE-GGA | relaxed; values from VASP
! Volume   37.62 Å³/atom
! M_tot   0.0 μB/f.u.
! Space-group type   F-43m
! DOS at the Fermi energy   4.031 states/eV per cell
&SYSTEM
  ibrav = 0, nat = 3, ntyp = 3
/
ATOMIC_SPECIES
Na 22.99 Na.upf
Ba 137.33 Ba.upf
Sn 118.71 Sn.upf
CELL_PARAMETERS angstrom
-5.127 -1.235 -1.271
-1.333 -1.085 -5.145
-1.289 -5.063 -1.458
ATOMIC_POSITIONS crystal
Na 0.250 0.250 0.250
Ba 0.500 0.500 0.500
Sn 0.000 0.000 0.000

Arrangement B

! BaNaSn | Alexandria | PBE-GGA | relaxed; values from VASP
! Volume   35.92 Å³/atom
! M_tot   0.0 μB/f.u.
! Space-group type   P-6m2
! DOS at the Fermi energy   1.186 states/eV per cell
&SYSTEM
  ibrav = 0, nat = 6, ntyp = 3
/
ATOMIC_SPECIES
Sn 118.71 Sn.upf
Ba 137.33 Ba.upf
Na 22.99 Na.upf
CELL_PARAMETERS angstrom
5.584 0.000 0.000
-2.792 4.836 0.000
0.000 0.000 7.983
ATOMIC_POSITIONS crystal
Sn 0.667 0.333 0.789
Ba 0.333 0.667 0.000
Na 0.000 0.000 0.237
Ba 0.333 0.667 0.500
Sn 0.667 0.333 0.211
Na 0.000 0.000 0.763

Arrangement C

! BaNaSn | Alexandria | PBE-GGA | relaxed; values from VASP
! Volume   35.68 Å³/atom
! M_tot   0.0 μB/f.u.
! Space-group type   Imm2
! DOS at the Fermi energy   2.169 states/eV per cell
&SYSTEM
  ibrav = 0, nat = 12, ntyp = 3
/
ATOMIC_SPECIES
Ba 137.33 Ba.upf
Na 22.99 Na.upf
Sn 118.71 Sn.upf
CELL_PARAMETERS angstrom
5.573 0.000 0.000
0.000 8.123 0.000
0.000 0.000 9.458
ATOMIC_POSITIONS crystal
Ba 0.000 0.500 0.600
Ba 0.000 0.000 0.544
Na 0.000 0.218 0.910
Ba 0.500 0.500 0.044
Sn 0.500 0.195 0.743
Sn 0.000 0.695 0.243
Sn 0.500 0.805 0.743
Na 0.500 0.282 0.410
Ba 0.500 0.000 0.100
Na 0.000 0.782 0.910
Sn 0.000 0.305 0.243
Na 0.500 0.718 0.410

The structure with the greatest stability is arrangement C.